Density functional theory data (PBE) for a geometry-optimized CeMnAs2 structure.

```
CeMnAs2
1.0
3.896 0.000 0.000
0.000 3.896 0.000
0.000 0.000 10.180
Mn Ce As
2 2 4
direct
0.000 0.000 0.000
0.500 0.500 0.000
0.500 0.000 0.733
0.000 0.500 0.267
0.000 0.000 0.500
0.500 0.000 0.149
0.500 0.500 0.500
0.000 0.500 0.851
```

DFT formation energy   -802.8 meV per atom